Run i
Computed, not measured: CdSnIF2 after structural relaxation at the PBE-GGA level of DFT.

a = 4.5056 Å, b = 6.2690 Å, c = 4.5056 Å
α = 90.00°, β = 90.00°, γ = 90.00°
Last column: magnetic moment on the atom in μB.
Sites, in units of the cell vectors:
I  0.0000  0.5000  0.0000  0.01
F  0.0000  0.0000  0.5000  0.01
F  0.5000  0.0000  0.0000  0.01
Sn  0.5000  0.5000  0.5000  0.37
Cd  0.0000  0.0000  0.0000  0.01

Output
SG: P4/mmm, No. 123
Crystal system: tetragonal
Spin magnetization, Bohr magnetons per cell: 0.928

=====

Run ii
Computed, not measured: CdSnIF2 after structural relaxation at the PBE-GGA level of DFT.

a = 4.4461 Å, b = 4.4461 Å, c = 6.1419 Å
α = 90.00°, β = 90.00°, γ = 90.00°
Sites, in units of the cell vectors:
I  0.5000  0.5000  0.5000
F  0.0000  0.5000  0.0000
F  0.5000  0.0000  0.0000
Sn  0.0000  0.0000  0.0000
Cd  0.0000  0.0000  0.5000

Output
SG: P4/mmm, No. 123
Crystal system: tetragonal
Spin magnetization, Bohr magnetons per cell: 0.000

=====

Pick the least stable structure from those above. Pick: run i